Here is a relaxed La2MgPb crystal from the Alexandria database. Energies are from PBE.

## Properties
Volume, Å³ per atom: 30.97
Energy of formation, eV/atom: -0.36
Total DFT energy (no corrections), eV/atom: -4.15

CIF file:
```
data_La2MgPb
_chemical_formula_sum 'La4 Mg2 Pb2'
_cell_length_a 12.0945
_cell_length_b 4.4117
_cell_length_c 5.1234
_cell_angle_alpha 90.00
_cell_angle_beta 114.99
_cell_angle_gamma 90.00
_space_group_name_H-M_alt 'C 1 m 1'
_space_group_IT_number 8
loop_
_space_group_symop_operation_xyz
'x,y,z'
'x,-y,z'
'x+1/2,y+1/2,z'
'x+1/2,-y+1/2,z'
loop_
_atom_site_label
_atom_site_fract_x
_atom_site_fract_y
_atom_site_fract_z
_atom_site_occupancy
La1 0.0000 0.0000 0.0000 1
La2 0.2300 0.0000 0.7306 1
Mg1 0.4596 0.0000 0.4598 1
Pb1 0.2650 0.5000 0.2656 1
```

***

Here is a relaxed Na2Zn2O3 crystal from the Alexandria database. Energies are from PBE.

## Properties
Volume, Å³ per atom: 13.34
Uncorrected formation energy, eV/atom: -1.4077
Total DFT energy (no corrections), eV/atom: -4.27

CIF file:
```
data_Na2Zn2O3
_chemical_formula_sum 'Na8 Zn8 O12'
_cell_length_a 6.2689
_cell_length_b 6.2689
_cell_length_c 9.5049
_cell_angle_alpha 90.00
_cell_angle_beta 90.00
_cell_angle_gamma 90.00
_space_group_name_H-M_alt 'P 43 21 2'
_space_group_IT_number 96
loop_
_space_group_symop_operation_xyz
'x,y,z'
'-y+1/2,x+1/2,z+3/4'
'-x,-y,z+1/2'
'y+1/2,-x+1/2,z+1/4'
'x+1/2,-y+1/2,-z+1/4'
'-y,-x,-z+1/2'
'-x+1/2,y+1/2,-z+3/4'
'y,x,-z'
loop_
_atom_site_label
_atom_site_fract_x
_atom_site_fract_y
_atom_site_fract_z
_atom_site_occupancy
Na1 0.0308 0.2475 0.3558 1
Zn1 0.0433 0.2430 0.8848 1
O1 0.0145 0.7421 0.5924 1
O2 0.1794 0.8206 0.2500 1
```

***

Here is a relaxed LiFeHg2 crystal from the Alexandria database. Energies are from PBE.

## Properties
Volume, Å³ per atom: 21.01
Energy of formation, eV/atom: 0.40
Total DFT energy (no corrections), eV/atom: -2.35

CIF file:
```
data_LiFeHg2
_chemical_formula_sum 'Li4 Fe4 Hg8'
_cell_length_a 4.3166
_cell_length_b 4.3166
_cell_length_c 18.0371
_cell_angle_alpha 90.00
_cell_angle_beta 90.00
_cell_angle_gamma 90.00
_space_group_name_H-M_alt 'I -4 2 d'
_space_group_IT_number 122
_space_group_name_Hall 'I -4 2bw'
loop_
_atom_site_label
_atom_site_fract_x
_atom_site_fract_y
_atom_site_fract_z
_atom_site_occupancy
Li1 0.0000 0.0000 0.0000 1
Fe1 0.0000 0.0000 0.5000 1
Hg1 0.2466 0.2500 0.6250 1
```

***

Here is a relaxed AgAs2Br crystal from the Alexandria database. Energies are from PBE.

## Properties
Volume, Å³ per atom: 20.90
Uncorrected formation energy, eV/atom: 0.5282
Total DFT energy (no corrections), eV/atom: -2.93

CIF file:
```
data_AgAs2Br
_chemical_formula_sum 'Ag1 As2 Br1'
_cell_length_a 5.2395
_cell_length_b 5.2395
_cell_length_c 3.0446
_cell_angle_alpha 90.00
_cell_angle_beta 90.00
_cell_angle_gamma 90.00
_space_group_name_H-M_alt 'P 4/m m m'
_space_group_IT_number 123
_space_group_name_Hall '-P 4 2'
loop_
_atom_site_label
_atom_site_fract_x
_atom_site_fract_y
_atom_site_fract_z
_atom_site_occupancy
Ag1 0.0000 0.0000 0.0000 1
As1 0.0000 0.5000 0.5000 1
Br1 0.5000 0.5000 0.0000 1
```